Entry from the Alexandria database: an optimized crystal structure of CdBiSb (PBE).

Geometry as POSCAR:
```
CdBiSb
1.0
-1.933 -5.690 -2.320
0.819 -4.981 11.536
-4.363 1.680 1.035
Sb Bi Cd
4 4 4
Direct
0.271 0.721 0.455
0.729 0.721 0.545
0.271 0.221 0.955
0.729 0.221 0.045
0.758 0.408 0.437
0.242 0.408 0.563
0.758 0.908 0.937
0.242 0.908 0.063
0.753 0.074 0.504
0.247 0.074 0.496
0.753 0.574 0.004
0.247 0.574 0.996
```

Calculated values
symmetry = C2
E_tot = -35.1 eV for the cell shown
formation energy from raw total energies = 0.2 eV per formula unit
total moment = 0.00 μB/f.u.